Entry 1:
A plane-wave DFT calculation with PBE-GGA was carried out for a relaxed structure of Mn2ZnHg.

The formation energy from the elements comes out at 0.27 eV/atom. For the excess energy over the best structure of this formula in the dataset, the calculation gives 74.6 meV/atom.

abc: 4.7686 4.7686 2.9440
angles: 90.00 90.00 107.15
Closest atoms and distances in Å follow each position.
Atoms (fractional coordinates):
1 Hg 0.0000 0.5000 0.5000  8 Mn 2.80, 2 Zn 2.83, 2 Hg 2.94
2 Zn 0.5000 0.0000 0.5000  8 Mn 2.80, 2 Hg 2.83, 2 Zn 2.94
3 Mn 0.5000 0.5000 0.0000  4 Hg 2.80, 4 Zn 2.80, 4 Mn 2.83-2.94
4 Mn 0.0000 0.0000 0.0000  4 Zn 2.80, 4 Hg 2.80, 4 Mn 2.83-2.94

***

Entry 2:
A plane-wave DFT calculation with PBE-GGA was carried out for a relaxed structure of LaCo2Te.

Its uncorrected formation energy is -0.292 eV per atom.

abc: 4.2706 4.2706 5.5454
angles: 67.46 67.46 60.03
Closest atoms and distances in Å follow each position.
Atoms (fractional coordinates):
1 Te 0.7500 0.7500 0.7500  6 Co 2.51
2 La 0.2500 0.2500 0.2500  8 Co 2.98-3.18
3 Co 0.0507 0.0507 0.8484  3 Te 2.51, 3 Co 2.65
4 Co 0.4493 0.4493 0.6516  3 Te 2.51, 3 Co 2.65